No. 1
Compound: ZnCrAs2
Source: Alexandria via LeMat-Bulk
Functional: GGA-PBE
Structure: relaxed

Calculated values
Energy of formation from the pure elements in eV per atom: 0.194
Space group: Immm, No. 71
Size of the total moment in μB per cell: 3.21
ρ in g/cm3: 6.6
Energy in eV per atom: -4.855

Cell lengths 4.817, 4.817, 4.817 Å; angles 128.34, 128.12, 76.26 degrees
Positions (direct):
Zn1 0.000 0.000 0.000
Cr1 0.500 0.500 0.000
As1 0.250 0.750 0.500
As2 0.750 0.250 0.500

=====

No. 2
Compound: Sm7Cd2Te2
Source: Alexandria via LeMat-Bulk
Functional: GGA-PBE
Structure: relaxed

Calculated values
Space group: Cmmm, No. 65
Size of the total moment in μB per cell: 0.00
ρ in g/cm3: 7.1
Energy in eV per atom: -4.107
ΔE_f (raw) in eV per atom: -0.37

Cell lengths 6.948, 6.948, 7.743 Å; angles 90.00, 90.00, 106.01 degrees
Positions (direct):
Sm1 0.000 0.000 0.000
Sm2 0.000 0.500 0.281
Sm3 0.000 0.500 0.719
Sm4 0.500 0.000 0.281
Sm5 0.500 0.000 0.719
Sm6 0.500 0.500 0.268
Sm7 0.500 0.500 0.732
Cd1 0.169 0.169 0.500
Cd2 0.831 0.831 0.500
Te1 0.281 0.719 0.000
Te2 0.719 0.281 0.000

=====

No. 3
Compound: BiPd3Pb2
Source: Alexandria via LeMat-Bulk
Functional: GGA-PBE
Structure: relaxed

Calculated values
Energy of formation from the pure elements in eV per atom: -0.184
Space group: C2/c, No. 15
Size of the total moment in μB per cell: 0.00
ρ in g/cm3: 11.7
Energy in eV per atom: -4.663

Cell lengths 7.068, 7.068, 7.714 Å; angles 106.07, 106.07, 46.88 degrees
Positions (direct):
Bi1 0.235 0.765 0.750
Bi2 0.765 0.235 0.250
Pd1 0.122 0.127 0.563
Pd2 0.127 0.122 0.063
Pd3 0.276 0.724 0.250
Pd4 0.724 0.276 0.750
Pd5 0.873 0.878 0.937
Pd6 0.878 0.873 0.437
Pb1 0.298 0.305 0.902
Pb2 0.305 0.298 0.402
Pb3 0.695 0.702 0.598
Pb4 0.702 0.695 0.098

=====

No. 4
Compound: LiCa3B2O6
Source: Alexandria via LeMat-Bulk
Functional: GGA-PBE
Structure: relaxed

Calculated values
Space group: P-3m1, No. 164
Size of the total moment in μB per cell: 0.00
ρ in g/cm3: 2.7
Energy in eV per atom: -6.774
ΔE_f (raw) in eV per atom: -2.52

Cell lengths 5.169, 5.169, 6.434 Å; angles 90.00, 90.00, 120.00 degrees
Positions (direct):
Li1 0.000 0.000 0.000
Ca1 0.000 0.000 0.500
Ca2 0.333 0.667 0.190
Ca3 0.667 0.333 0.810
B1 0.333 0.667 0.765
B2 0.667 0.333 0.235
O1 0.179 0.358 0.782
O2 0.179 0.821 0.782
O3 0.358 0.179 0.218
O4 0.642 0.821 0.782
O5 0.821 0.179 0.218
O6 0.821 0.642 0.218

=====

No. 5
Compound: NbTe2Ru
Source: Alexandria via LeMat-Bulk
Functional: GGA-PBE
Structure: relaxed

Calculated values
Space group: I-42d, No. 122
Size of the total moment in μB per cell: 1.89
ρ in g/cm3: 6.6
Energy in eV per atom: -5.994
ΔE_f (raw) in eV per atom: 0.41

Cell lengths 7.362, 7.362, 7.362 Å; angles 130.41, 130.41, 72.76 degrees
Positions (direct):
Nb1 0.000 0.000 0.000
Nb2 0.750 0.250 0.500
Te1 0.147 0.625 0.022
Te2 0.375 0.397 0.522
Te3 0.603 0.125 0.978
Te4 0.875 0.853 0.478
Ru1 0.250 0.750 0.500
Ru2 0.500 0.500 0.000

=====

No. 6
Compound: Li8BiS6
Source: Alexandria via LeMat-Bulk
Functional: GGA-PBE
Structure: relaxed

Calculated values
Space group: R-3, No. 148
Size of the total moment in μB per cell: 0.00
ρ in g/cm3: 2.8
Energy in eV per atom: -3.983
ΔE_f (raw) in eV per atom: -1.05

Cell lengths 7.572, 7.572, 7.572 Å; angles 54.46, 54.46, 54.46 degrees
Positions (direct):
Li1 0.026 0.715 0.395
Li2 0.154 0.154 0.154
Li3 0.285 0.605 0.974
Li4 0.395 0.026 0.715
Li5 0.605 0.974 0.285
Li6 0.715 0.395 0.026
Li7 0.846 0.846 0.846
Li8 0.974 0.285 0.605
Bi1 0.500 0.500 0.500
S1 0.100 0.404 0.748
S2 0.252 0.900 0.596
S3 0.404 0.748 0.100
S4 0.596 0.252 0.900
S5 0.748 0.100 0.404
S6 0.900 0.596 0.252

=====

No. 7
Compound: Ac2YPd2
Source: Alexandria via LeMat-Bulk
Functional: GGA-PBE
Structure: relaxed

Calculated values
Energy of formation from the pure elements in eV per atom: -0.662
Space group: P4/mbm, No. 127
Size of the total moment in μB per cell: 0.00
ρ in g/cm3: 8.7
Energy in eV per atom: -5.676

Cell lengths 8.208, 8.208, 4.275 Å; angles 90.00, 90.00, 90.00 degrees
Positions (direct):
Ac1 0.170 0.330 0.000
Ac2 0.330 0.830 0.000
Ac3 0.670 0.170 0.000
Ac4 0.830 0.670 0.000
Y1 0.000 0.000 0.500
Y2 0.500 0.500 0.500
Pd1 0.132 0.632 0.500
Pd2 0.368 0.132 0.500
Pd3 0.632 0.868 0.500
Pd4 0.868 0.368 0.500

=====

No. 8
Compound: AlBr2Cl
Source: Alexandria via LeMat-Bulk
Functional: GGA-PBE
Structure: relaxed

Calculated values
Space group: C2/m, No. 12
Size of the total moment in μB per cell: 0.00
ρ in g/cm3: 2.9
Energy in eV per atom: -2.393
ΔE_f (raw) in eV per atom: -0.16

Cell lengths 5.702, 5.702, 5.539 Å; angles 102.06, 102.06, 126.30 degrees
Positions (direct):
Al1 0.000 0.000 0.000
Br1 0.000 0.500 0.500
Br2 0.500 0.000 0.500
Cl1 0.500 0.500 0.000

=====

No. 9
Compound: Ni2TeOs
Source: Alexandria via LeMat-Bulk
Functional: GGA-PBE
Structure: relaxed

Calculated values
Space group: I-4m2, No. 119
Size of the total moment in μB per cell: 0.00
ρ in g/cm3: 12.7
Energy in eV per atom: -6.118
ΔE_f (raw) in eV per atom: 0.37

Cell lengths 4.613, 4.613, 4.613 Å; angles 129.64, 129.64, 73.98 degrees
Positions (direct):
Ni1 0.000 0.000 0.000
Ni2 0.750 0.250 0.500
Te1 0.250 0.750 0.500
Os1 0.500 0.500 0.000

=====

No. 10
Compound: CsLiI2N
Source: Alexandria via LeMat-Bulk
Functional: GGA-PBE
Structure: relaxed

Calculated values
Space group: P4/mmm, No. 123
Size of the total moment in μB per cell: 3.01
ρ in g/cm3: 3.8
Energy in eV per atom: -2.906
ΔE_f (raw) in eV per atom: -0.07

Cell lengths 6.003, 6.003, 4.886 Å; angles 90.00, 90.00, 90.00 degrees
Positions (direct):
Cs1 0.000 0.000 0.000
Li1 0.500 0.500 0.500
I1 0.000 0.500 0.500
I2 0.500 0.000 0.500
N1 0.500 0.500 0.000

=====

No. 11
Compound: RePdC3
Source: Alexandria via LeMat-Bulk
Functional: GGA-PBE
Structure: relaxed

Calculated values
Energy of formation from the pure elements in eV per atom: 1.799
Space group: Pm-3m, No. 221
Size of the total moment in μB per cell: 0.00
ρ in g/cm3: 8.4
Energy in eV per atom: -7.263

Cell lengths 4.025, 4.025, 4.025 Å; angles 90.00, 90.00, 90.00 degrees
Positions (direct):
Re1 0.000 0.000 0.000
Pd1 0.500 0.500 0.500
C1 0.000 0.000 0.500
C2 0.000 0.500 0.000
C3 0.500 0.000 0.000

=====

No. 12
Compound: CrNiCl2
Source: Alexandria via LeMat-Bulk
Functional: GGA-PBE
Structure: relaxed

Calculated values
Space group: P2/m, No. 10
Size of the total moment in μB per cell: 4.00
ρ in g/cm3: 3.9
Energy in eV per atom: -4.774
ΔE_f (raw) in eV per atom: 0.00

Cell lengths 4.261, 3.561, 5.098 Å; angles 90.00, 91.36, 90.00 degrees
Positions (direct):
Cr1 0.000 0.000 0.000
Ni1 0.500 0.000 0.500
Cl1 0.268 0.500 0.263
Cl2 0.732 0.500 0.737